Below is a relaxed structure of Ba6Cd2Au, with properties calculated at the GGA-PBE level.

## Properties
- E_form: -0.24 eV per atom
- Calculated density: 5.1 g/cm3
- Polymorph energy (0 for the lowest one): 0.39 eV per formula unit
- D(E_F): 11.2 states/eV/f.u.

CIF file:
```
data_Ba6Cd2Au
_space_group_name_H-M_alt 'I m m m'
_space_group_IT_number 71
_space_group_name_Hall '-I 2 2'
_cell_length_a 11.553
_cell_length_b 11.814
_cell_length_c 11.878
_cell_angle_alpha 90.00
_cell_angle_beta 90.00
_cell_angle_gamma 90.00
loop_
_atom_site_label
_atom_site_fract_x
_atom_site_fract_y
_atom_site_fract_z
Ba1 0.000 0.165 0.237
Ba2 0.167 0.500 0.210
Ba3 0.225 0.310 0.500
Cd1 0.000 0.357 0.000
Cd2 0.122 0.000 0.500
Au1 0.000 0.000 0.000
Au2 0.000 0.500 0.500
```